The following is a DFT calculation (PBE) of a geometry-optimized CeFeGe2Ru structure.

Cell lengths 4.1828, 4.1828, 5.8034 Å; angles 111.12, 111.12, 90.00 degrees
Last column: magnetic moment on the atom in μB.
Positions (direct):
Ru1 0.2500 0.7500 0.5000  0.01
Ge1 0.3687 0.3687 0.7374  0.01
Ce1 0.0000 0.0000 0.0000  0.56
Fe1 0.7500 0.2500 0.5000  -0.21
Ge2 0.6313 0.6313 0.2626  0.01

Computed properties:
DOS(E_F): 6.36 states/eV per cell
Volume: 87.36 Å³ per cell
E_form: -526 meV per atom
Space-group type: I-4m2 (119)